A plane-wave DFT calculation with PBE-GGA was carried out for a relaxed structure of CeZr3Sc6.

Cell lengths 8.293, 8.293, 8.021 Å; angles 90.00, 90.00, 115.84 degrees
Fractional positions:
Ce1 0.214 0.786 0.500
Ce2 0.786 0.214 0.000
Zr1 0.049 0.951 0.266
Zr2 0.191 0.297 0.078
Zr3 0.297 0.191 0.578
Zr4 0.703 0.809 0.078
Zr5 0.809 0.703 0.578
Zr6 0.951 0.049 0.766
Sc1 0.034 0.318 0.407
Sc2 0.174 0.466 0.750
Sc3 0.296 0.704 0.112
Sc4 0.318 0.034 0.907
Sc5 0.452 0.548 0.401
Sc6 0.466 0.174 0.250
Sc7 0.534 0.826 0.750
Sc8 0.548 0.452 0.901
Sc9 0.682 0.966 0.407
Sc10 0.704 0.296 0.612
Sc11 0.826 0.534 0.250
Sc12 0.966 0.682 0.907

Calculated values
DFT formation energy, eV per atom: 0.1356
E_tot, eV/cell: -136.42
Density of states at the Fermi level, states/eV/cell: 29.70
Volume, A^3/atom: 24.827
Symmetry: Cmc2_1, No. 36
E above lowest polymorph, meV/atom: 101